1.
This record from Alexandria via LeMat-Bulk describes a relaxed structure of Pm6Sm2Ho3In. The functional is GGA-PBE.

Cell and atoms, written as extended XYZ:
```
12
Lattice="6.189 -0.006 0.003 -3.099 5.358 0.003 -1.043 -1.805 11.645" Properties=species:S:1:pos:R:3 pbc="T T T"
Sm 3.090 1.784 0.003
Sm 0.001 3.567 0.003
Ho -2.066 3.557 5.826
Ho 1.024 1.773 5.826
Ho 4.114 -0.012 5.826
Pm -0.030 -0.052 8.722
Pm -1.015 1.742 2.914
Pm 2.016 -0.009 2.914
Pm 0.031 3.554 8.738
Pm 3.063 1.804 8.738
Pm 2.078 3.598 2.930
In 0.000 0.000 0.000
```

Values from the calculation:
**Volume**: 386.0 Å³ per cell
**Total DFT energy (no corrections)**: -4.5824 eV per atom
**Spin magnetization**: 0.00 μB/cell

***

2.
This record from Alexandria via LeMat-Bulk describes a relaxed structure of PmZrZnCu. The functional is GGA-PBE.

Cell and atoms, written as extended XYZ:
```
4
Lattice="-1.488 3.563 -3.018 -4.704 0.265 -1.347 -2.834 3.622 1.694" Properties=species:S:1:pos:R:3 pbc="T T T"
Pm 0.000 0.000 0.000
Zr -4.513 3.725 -1.336
Zn -2.256 1.862 -0.668
Cu -6.769 5.587 -2.003
```

Values from the calculation:
**Volume**: 83.2 Å³ per cell
**Total DFT energy (no corrections)**: -4.7703 eV per atom
**Spin magnetization**: 0.96 μB/cell

***

3.
This record from Alexandria via LeMat-Bulk describes a relaxed structure of MgTc2CSe. The functional is GGA-PBE.

Cell and atoms, written as extended XYZ:
```
5
Lattice="-1.325 -3.945 -2.148 2.336 0.889 -3.073 3.543 -2.295 2.029" Properties=species:S:1:pos:R:3 pbc="T T T"
Se 0.000 0.000 0.000
Tc -0.662 -1.973 -1.074
Tc 1.771 -1.147 1.015
Mg 2.277 -2.675 -1.596
C 1.168 0.444 -1.536
```

Values from the calculation:
**Formation energy from raw total energies**: 784 kJ/mol of formula units
**Volume**: 86.9 Å³ per cell
**Spin magnetization**: 1.68 μB/cell

***

4.
This record from Alexandria via LeMat-Bulk describes a relaxed structure of CaAg2O4. The functional is GGA-PBE.

Cell and atoms, written as extended XYZ:
```
14
Lattice="-3.252 3.380 4.632 3.252 -3.380 4.632 3.252 3.380 -4.632" Properties=species:S:1:pos:R:3 pbc="T T T"
O 3.252 0.252 2.361
O 0.000 3.129 2.271
O 1.530 1.690 4.368
O 3.252 3.129 2.361
O 4.782 1.690 0.263
O 1.722 1.690 0.263
O 0.000 0.252 2.271
O -1.530 1.690 4.368
Ag -1.626 1.690 2.316
Ag 0.000 5.070 1.075
Ag 1.626 1.690 2.316
Ag 3.252 -1.690 3.557
Ca 0.000 0.000 4.632
Ca 3.252 0.000 0.000
```

Values from the calculation:
**E above lowest polymorph**: 255 meV per atom
**Formation energy from raw total energies**: -462 kJ/mol of formula units
**Volume**: 203.6 Å³ per cell
**Spin magnetization**: 0.00 μB/cell